Below is a geometry-optimized InMoCl2 structure, with properties calculated at the PBE level.

Cell: 3.082 3.082 10.224 Å, 90.00 90.00 90.00°
Atoms (fractional coordinates):
In 0.000 0.000 0.000
Mo 0.000 0.000 0.500
Cl 0.500 0.500 0.354
Cl 0.500 0.500 0.646

Computed properties:
For the total magnetic moment, the calculation gives 1.29 μB/f.u. Its space group is No. 123. The calculation puts the raw formation energy at 0.097 eV per atom. The calculation puts the total energy at -4.219 eV per atom.



Below is a geometry-optimized InMoCl2 structure, with properties calculated at the PBE level.

Cell: 3.347 3.347 9.633 Å, 90.00 90.00 121.93°
Atoms (fractional coordinates):
In 0.000 0.000 0.000
Mo 0.500 0.500 0.762
Cl 0.000 0.000 0.577
Cl 0.500 0.500 0.209

Computed properties:
For the total magnetic moment, the calculation gives 0.80 μB/f.u. Its space group is No. 35. The calculation puts the raw formation energy at -0.131 eV per atom. The calculation puts the total energy at -4.447 eV per atom.



Below is a geometry-optimized InMoCl2 structure, with properties calculated at the PBE level.

Cell: 7.339 7.339 7.339 Å, 156.32 144.15 43.42°
Atoms (fractional coordinates):
In 0.000 0.000 0.000
Mo 0.186 0.686 0.500
Cl 0.328 0.328 0.000
Cl 0.663 0.163 0.500

Computed properties:
For the total magnetic moment, the calculation gives 0.00 μB/f.u. Its space group is No. 44. The calculation puts the raw formation energy at 0.083 eV per atom. The calculation puts the total energy at -4.232 eV per atom.



Below is a geometry-optimized InMoCl4 structure, with properties calculated at the PBE level.

Cell: 6.607 7.147 8.798 Å, 67.50 68.81 76.64°
Atoms (fractional coordinates):
In 0.187 0.267 0.491
In 0.813 0.733 0.509
Mo 0.300 0.999 0.000
Mo 0.700 0.001 0.000
Cl 0.016 0.753 0.094
Cl 0.114 0.040 0.280
Cl 0.406 0.952 0.723
Cl 0.477 0.302 0.888
Cl 0.523 0.698 0.112
Cl 0.594 0.048 0.277
Cl 0.886 0.960 0.720
Cl 0.984 0.247 0.906

Computed properties:
For the total magnetic moment, the calculation gives 1.00 μB/f.u. Its space group is No. 2. The calculation puts the raw formation energy at -0.839 eV per atom. The calculation puts the total energy at -4.332 eV per atom.



Below is a geometry-optimized InMoCl2 structure, with properties calculated at the PBE level.

Cell: 7.635 7.635 7.635 Å, 132.74 132.74 69.06°
Atoms (fractional coordinates):
In 0.000 0.000 0.000
In 0.750 0.250 0.500
Mo 0.250 0.750 0.500
Mo 0.500 0.500 0.000
Cl 0.243 0.625 0.118
Cl 0.375 0.493 0.618
Cl 0.507 0.125 0.882
Cl 0.875 0.757 0.382

Computed properties:
For the total magnetic moment, the calculation gives 0.00 μB/f.u. Its space group is No. 122. The calculation puts the raw formation energy at 0.298 eV per atom. The calculation puts the total energy at -4.018 eV per atom.



Below is a geometry-optimized InMoCl4 structure, with properties calculated at the PBE level.

Cell: 6.005 6.005 6.005 Å, 60.00 60.00 60.00°
Atoms (fractional coordinates):
In 0.000 0.000 0.000
Mo 0.750 0.750 0.750
Cl 0.375 0.375 0.375
Cl 0.375 0.375 0.874
Cl 0.375 0.874 0.375
Cl 0.874 0.375 0.375

Computed properties:
For the total magnetic moment, the calculation gives 6.40 μB/f.u. Its space group is No. 216. The calculation puts the raw formation energy at 0.697 eV per atom. The calculation puts the total energy at -2.796 eV per atom.



Below is a geometry-optimized InMoCl2 structure, with properties calculated at the PBE level.

Cell: 5.102 5.102 5.102 Å, 60.00 60.00 60.00°
Atoms (fractional coordinates):
In 0.000 0.000 0.000
Mo 0.250 0.250 0.250
Cl 0.500 0.500 0.500
Cl 0.750 0.750 0.750

Computed properties:
For the total magnetic moment, the calculation gives 4.98 μB/f.u. Its space group is No. 216. The calculation puts the raw formation energy at 0.465 eV per atom. The calculation puts the total energy at -3.850 eV per atom.



Below is a geometry-optimized InMoCl2 structure, with properties calculated at the PBE level.

Cell: 4.802 4.802 4.802 Å, 60.00 60.00 60.00°
Atoms (fractional coordinates):
In 0.000 0.000 0.000
Mo 0.500 0.500 0.500
Cl 0.250 0.250 0.250
Cl 0.750 0.750 0.750

Computed properties:
For the total magnetic moment, the calculation gives 0.00 μB/f.u. Its space group is No. 225. The calculation puts the raw formation energy at 0.567 eV per atom. The calculation puts the total energy at -3.749 eV per atom.



Below is a geometry-optimized InMoCl2 structure, with properties calculated at the PBE level.

Cell: 6.632 6.632 6.632 Å, 143.53 143.53 52.52°
Atoms (fractional coordinates):
In 0.000 0.000 0.000
Mo 0.250 0.750 0.500
Cl 0.500 0.500 0.000
Cl 0.750 0.250 0.500

Computed properties:
For the total magnetic moment, the calculation gives 4.91 μB/f.u. Its space group is No. 119. The calculation puts the raw formation energy at 0.318 eV per atom. The calculation puts the total energy at -3.998 eV per atom.



Below is a geometry-optimized InMoCl2 structure, with properties calculated at the PBE level.

Cell: 3.505 4.240 5.895 Å, 90.00 101.81 90.00°
Atoms (fractional coordinates):
In 0.000 0.000 0.000
Mo 0.500 0.000 0.500
Cl 0.376 0.500 0.718
Cl 0.624 0.500 0.282

Computed properties:
For the total magnetic moment, the calculation gives 2.03 μB/f.u. Its space group is No. 10. The calculation puts the raw formation energy at 0.068 eV per atom. The calculation puts the total energy at -4.248 eV per atom.



Below is a geometry-optimized InMoCl3 structure, with properties calculated at the PBE level.

Cell: 5.303 5.303 5.303 Å, 90.00 90.00 90.00°
Atoms (fractional coordinates):
In 0.000 0.000 0.000
Mo 0.500 0.500 0.500
Cl 0.000 0.000 0.500
Cl 0.000 0.500 0.000
Cl 0.500 0.000 0.000

Computed properties:
For the total magnetic moment, the calculation gives 5.12 μB/f.u. Its space group is No. 221. The calculation puts the raw formation energy at 0.216 eV per atom. The calculation puts the total energy at -3.606 eV per atom.



Below is a geometry-optimized InMoCl2 structure, with properties calculated at the PBE level.

Cell: 5.140 5.140 3.739 Å, 90.00 90.00 90.13°
Atoms (fractional coordinates):
In 0.000 0.000 0.000
Mo 0.500 0.500 0.000
Cl 0.000 0.500 0.500
Cl 0.500 0.000 0.500

Computed properties:
For the total magnetic moment, the calculation gives 5.00 μB/f.u. Its space group is No. 65. The calculation puts the raw formation energy at 0.329 eV per atom. The calculation puts the total energy at -3.986 eV per atom.